No. 1
This record from OQMD describes crystalline CoCuGeSe3 at its relaxed geometry. The functional is PBE. Values from VASP.

E_tot = -4.4765 eV/atom

```
&SYSTEM
  ibrav = 0, nat = 12, ntyp = 4
/
ATOMIC_SPECIES
Co 58.93 Co.upf
Cu 63.55 Cu.upf
Ge 72.64 Ge.upf
Se 78.96 Se.upf
ATOMIC_POSITIONS crystal
Co 0.0000 0.0000 0.0000
Co 0.0000 0.0000 0.5000
Cu 0.3146 0.6854 0.7500
Cu 0.6854 0.3146 0.2500
Ge 0.3172 0.6828 0.2500
Ge 0.6828 0.3172 0.7500
Se 0.0472 0.9528 0.7500
Se 0.3840 0.6160 0.5237
Se 0.3840 0.6160 0.9763
Se 0.6160 0.3840 0.0237
Se 0.6160 0.3840 0.4763
Se 0.9528 0.0472 0.2500
CELL_PARAMETERS angstrom
1.8220 -6.7388 0.0000
1.8220 6.7388 0.0000
0.0000 0.0000 9.4330
```

No. 2
This record from OQMD describes crystalline CoCuSiGe at its relaxed geometry. The functional is PBE. Values from VASP.

ΔE to the lowest computed polymorph = 211.7 meV/atom

```
&SYSTEM
  ibrav = 0, nat = 4, ntyp = 4
/
ATOMIC_SPECIES
Co 58.93 Co.upf
Cu 63.55 Cu.upf
Si 28.09 Si.upf
Ge 72.64 Ge.upf
ATOMIC_POSITIONS crystal
Co 0.0000 0.0000 0.0000
Cu 0.7500 0.7500 0.7500
Si 0.2500 0.2500 0.2500
Ge 0.5000 0.5000 0.5000
CELL_PARAMETERS angstrom
0.0000 2.9714 2.9714
2.9714 0.0000 2.9714
2.9714 2.9714 0.0000
```

No. 3
This record from OQMD describes crystalline CoCuSiGe at its relaxed geometry. The functional is PBE. Values from VASP.

ΔE to the lowest computed polymorph = 0.0 meV/atom

```
&SYSTEM
  ibrav = 0, nat = 4, ntyp = 4
/
ATOMIC_SPECIES
Co 58.93 Co.upf
Cu 63.55 Cu.upf
Si 28.09 Si.upf
Ge 72.64 Ge.upf
ATOMIC_POSITIONS crystal
Co 0.0000 0.0000 0.0000
Cu 0.5000 0.5000 0.5000
Si 0.7500 0.7500 0.7500
Ge 0.2500 0.2500 0.2500
CELL_PARAMETERS angstrom
0.0000 2.9355 2.9355
2.9355 0.0000 2.9355
2.9355 2.9355 0.0000
```

No. 4
This record from OQMD describes crystalline TaCoCuGe at its relaxed geometry. The functional is PBE. Values from VASP.

ΔE to the lowest computed polymorph = 0.0 meV/atom

```
&SYSTEM
  ibrav = 0, nat = 4, ntyp = 4
/
ATOMIC_SPECIES
Ta 180.95 Ta.upf
Co 58.93 Co.upf
Cu 63.55 Cu.upf
Ge 72.64 Ge.upf
ATOMIC_POSITIONS crystal
Ta 0.0000 0.0000 0.0000
Co 0.7500 0.7500 0.7500
Cu 0.2500 0.2500 0.2500
Ge 0.5000 0.5000 0.5000
CELL_PARAMETERS angstrom
0.0000 3.0095 3.0095
3.0095 0.0000 3.0095
3.0095 3.0095 0.0000
```

No. 5
This record from OQMD describes crystalline TaCoCuGe at its relaxed geometry. The functional is PBE. Values from VASP.

ΔE to the lowest computed polymorph = 100.2 meV/atom

```
&SYSTEM
  ibrav = 0, nat = 4, ntyp = 4
/
ATOMIC_SPECIES
Ta 180.95 Ta.upf
Co 58.93 Co.upf
Cu 63.55 Cu.upf
Ge 72.64 Ge.upf
ATOMIC_POSITIONS crystal
Ta 0.0000 0.0000 0.0000
Co 0.5000 0.5000 0.5000
Cu 0.7500 0.7500 0.7500
Ge 0.2500 0.2500 0.2500
CELL_PARAMETERS angstrom
0.0000 3.0227 3.0227
3.0227 0.0000 3.0227
3.0227 3.0227 0.0000
```

No. 6
This record from OQMD describes crystalline TaCoCuGe at its relaxed geometry. The functional is PBE. Values from VASP.

ΔE to the lowest computed polymorph = 46.0 meV/atom

```
&SYSTEM
  ibrav = 0, nat = 4, ntyp = 4
/
ATOMIC_SPECIES
Ta 180.95 Ta.upf
Co 58.93 Co.upf
Cu 63.55 Cu.upf
Ge 72.64 Ge.upf
ATOMIC_POSITIONS crystal
Ta 0.0000 0.0000 0.0000
Co 0.7500 0.7500 0.7500
Cu 0.5000 0.5000 0.5000
Ge 0.2500 0.2500 0.2500
CELL_PARAMETERS angstrom
0.0000 3.0253 3.0253
3.0253 0.0000 3.0253
3.0253 3.0253 0.0000
```

Copy entry 5 word for word.
This record from OQMD describes crystalline TaCoCuGe at its relaxed geometry. The functional is PBE. Values from VASP.

ΔE to the lowest computed polymorph = 100.2 meV/atom

```
&SYSTEM
  ibrav = 0, nat = 4, ntyp = 4
/
ATOMIC_SPECIES
Ta 180.95 Ta.upf
Co 58.93 Co.upf
Cu 63.55 Cu.upf
Ge 72.64 Ge.upf
ATOMIC_POSITIONS crystal
Ta 0.0000 0.0000 0.0000
Co 0.5000 0.5000 0.5000
Cu 0.7500 0.7500 0.7500
Ge 0.2500 0.2500 0.2500
CELL_PARAMETERS angstrom
0.0000 3.0227 3.0227
3.0227 0.0000 3.0227
3.0227 3.0227 0.0000
```